# 1
Density functional theory data (PBE-GGA) for crystalline Pr8Tl2Bi at its relaxed geometry.

Structure (extended XYZ):
```
11
Lattice="4.5424 -7.6236 0.0000 4.5424 7.6236 0.0000 -2.1767 0.0000 5.3925" Properties=species:S:1:pos:R:3 pbc="T T T"
Pr 0.4702 1.6921 3.2612
Pr 4.5424 4.2093 0.0000
Pr 0.4702 -1.6921 3.2612
Pr 3.2024 0.0000 1.0932
Pr 3.7056 0.0000 4.2992
Pr 6.4378 1.6921 2.1312
Pr 4.5424 -4.2093 0.0000
Pr 6.4378 -1.6921 2.1312
Tl 3.4540 2.9237 2.6962
Tl 3.4540 -2.9237 2.6962
Bi 0.0000 0.0000 0.0000
```

Output
Total magnetic moment = 0.00 μB/f.u.
Space group = C2/m
Formation enthalpy at 0 K = -0.202 eV/atom
Final energy = -4.46 eV per atom
N(E_F) = 13.2 states/eV/cell

***

# 2
Density functional theory data (PBE-GGA) for crystalline Pr5TlBi4 at its relaxed geometry.

Structure (extended XYZ):
```
10
Lattice="-5.1803 5.1803 3.2674 5.1803 -5.1803 3.2674 5.1803 5.1803 -3.2674" Properties=species:S:1:pos:R:3 pbc="T T T"
Pr 0.0000 0.0000 0.0000
Pr 6.2494 2.0235 0.0000
Pr 2.0235 4.1112 0.0000
Pr 3.1569 1.0691 3.2674
Pr -1.0691 3.1569 3.2674
Tl 0.0000 0.0000 3.2674
Bi 3.1046 1.0331 0.0000
Bi 4.1472 -2.0757 3.2674
Bi 1.0331 7.2561 0.0000
Bi 2.0757 4.1472 3.2674
```

Output
Total magnetic moment = 0.00 μB/f.u.
Space group = I4/m
Formation enthalpy at 0 K = -0.790 eV/atom
Final energy = -4.97 eV per atom
N(E_F) = 5.8 states/eV/cell

***

# 3
Density functional theory data (PBE-GGA) for crystalline PrTlBi2 at its relaxed geometry.

Structure (extended XYZ):
```
4
Lattice="-2.4889 2.4889 5.0012 2.4889 -2.4889 5.0012 2.4889 2.4889 -5.0012" Properties=species:S:1:pos:R:3 pbc="T T T"
Pr 0.0000 0.0000 0.0000
Tl 0.0000 0.0000 5.0012
Bi 2.4889 0.0000 2.5006
Bi 0.0000 2.4889 2.5006
```

Output
Total magnetic moment = 0.00 μB/f.u.
Space group = I4/mmm
Formation enthalpy at 0 K = -0.434 eV/atom
Final energy = -4.16 eV per atom
Energy above the most stable polymorph in this dataset = 21.8 meV per atom
N(E_F) = 1.6 states/eV/cell

***

# 4
Density functional theory data (PBE-GGA) for crystalline Pr2TlBi4 at its relaxed geometry.

Structure (extended XYZ):
```
7
Lattice="4.6873 -5.0302 0.0000 4.6873 5.0302 0.0000 -4.6771 0.0000 5.0084" Properties=species:S:1:pos:R:3 pbc="T T T"
Pr 2.3436 2.5151 0.0000
Pr 2.3436 -2.5151 0.0000
Tl -2.3385 0.0000 2.5042
Bi 0.0000 0.0000 0.0000
Bi 0.0051 2.5151 2.5042
Bi 0.0051 -2.5151 2.5042
Bi 4.6873 0.0000 0.0000
```

Output
Total magnetic moment = 0.00 μB/f.u.
Space group = C2/m
Formation enthalpy at 0 K = -0.461 eV/atom
Final energy = -4.38 eV per atom
Energy above the most stable polymorph in this dataset = 36.0 meV per atom
N(E_F) = 4.4 states/eV/cell

***

# 5
Density functional theory data (PBE-GGA) for crystalline PrTlBi2 at its relaxed geometry.

Structure (extended XYZ):
```
4
Lattice="2.2430 1.2950 8.3460 -2.2430 1.2950 8.3460 0.0000 -2.5900 8.3460" Properties=species:S:1:pos:R:3 pbc="T T T"
Pr 0.0000 0.0000 0.0000
Tl 0.0000 0.0000 12.5189
Bi 0.0000 0.0000 6.3501
Bi 0.0000 0.0000 18.6878
```

Output
Total magnetic moment = 0.00 μB/f.u.
Space group = R-3m
Formation enthalpy at 0 K = -0.223 eV/atom
Final energy = -3.95 eV per atom
Energy above the most stable polymorph in this dataset = 233.5 meV per atom
N(E_F) = 3.0 states/eV/cell

***

# 6
Density functional theory data (PBE-GGA) for crystalline Pr2TlBi4 at its relaxed geometry.

Structure (extended XYZ):
```
7
Lattice="4.5741 0.0000 0.0000 0.0000 4.5741 0.0000 0.0000 0.0000 11.4903" Properties=species:S:1:pos:R:3 pbc="T T T"
Pr 0.0000 2.2870 2.6024
Pr 2.2870 0.0000 8.8879
Tl 0.0000 0.0000 5.7452
Bi 0.0000 0.0000 0.0000
Bi 0.0000 2.2870 8.0284
Bi 2.2870 0.0000 3.4619
Bi 2.2870 2.2870 0.0000
```

Output
Total magnetic moment = 0.00 μB/f.u.
Space group = P-4m2
Formation enthalpy at 0 K = -0.497 eV/atom
Final energy = -4.42 eV per atom
Energy above the most stable polymorph in this dataset = 0.0 meV per atom
N(E_F) = 2.7 states/eV/cell